[1]
The following is a DFT calculation (GGA-PBE) of a geometry-optimized CdInW4 structure.

The structure in POSCAR format:
```
CdInW4
1.0
0.000 3.826 3.826
3.826 0.000 3.826
3.826 3.826 0.000
Cd In W
1 1 4
direct
0.000 0.000 0.000
0.750 0.750 0.750
0.374 0.374 0.374
0.374 0.374 0.877
0.374 0.877 0.374
0.877 0.374 0.374
```

Calculated values
Total DFT energy (no corrections) = -8.561 eV/atom
V = 112.05 Å³/f.u.
ρ = 14.26 g cm⁻³
Density of states at the Fermi level = 1.065 states/eV/atom
Formation energy from the elements = 0.684 eV/atom


[2]
The following is a DFT calculation (GGA-PBE) of a geometry-optimized AcMg4Hg structure.

The structure in POSCAR format:
```
AcMg4Hg
1.0
0.000 4.350 4.350
4.350 0.000 4.350
4.350 4.350 0.000
Ac Mg Hg
1 4 1
direct
0.000 0.000 0.000
0.375 0.375 0.375
0.375 0.375 0.874
0.375 0.874 0.375
0.874 0.375 0.375
0.750 0.750 0.750
```

Calculated values
Total DFT energy (no corrections) = -1.817 eV/atom
V = 164.63 Å³/f.u.
ρ = 5.29 g cm⁻³
E above lowest polymorph = 168 meV/atom
Density of states at the Fermi level = 1.003 states/eV/atom
Formation energy from the elements = -0.019 eV/atom


[3]
The following is a DFT calculation (GGA-PBE) of a geometry-optimized Fe6Ir5Ru structure.

The structure in POSCAR format:
```
Fe6Ir5Ru
1.0
-1.892 3.643 5.667
1.892 -3.643 5.667
1.892 3.643 -5.667
Fe Ir Ru
6 5 1
direct
0.083 0.334 0.750
0.249 0.000 0.249
0.416 0.666 0.750
0.584 0.334 0.250
0.751 0.000 0.751
0.917 0.666 0.250
0.165 0.165 0.000
0.333 0.833 0.500
0.500 0.500 0.000
0.667 0.167 0.500
0.835 0.835 0.000
0.000 0.500 0.500
```

Calculated values
Total DFT energy (no corrections) = -8.705 eV/atom
V = 156.20 Å³/f.u.
ρ = 14.85 g cm⁻³
Density of states at the Fermi level = 1.034 states/eV/atom
Formation energy from the elements = -0.008 eV/atom


[4]
The following is a DFT calculation (GGA-PBE) of a geometry-optimized CeSi2Ni structure.

The structure in POSCAR format:
```
CeSi2Ni
1.0
1.945 1.123 5.239
-1.945 1.123 5.239
0.000 -2.246 5.239
Ce Si Ni
1 2 1
direct
0.000 0.000 0.000
0.210 0.210 0.210
0.790 0.790 0.790
0.500 0.500 0.500
```

Calculated values
Total DFT energy (no corrections) = -6.400 eV/atom
V = 68.64 Å³/f.u.
Formation energy without anion corrections = -760 meV per atom
ρ = 6.17 g cm⁻³
Density of states at the Fermi level = 0.776 states/eV/atom


[5]
The following is a DFT calculation (GGA-PBE) of a geometry-optimized La3Nd3Sm8 structure.

The structure in POSCAR format:
```
La3Nd3Sm8
1.0
-2.909 5.493 7.768
2.909 -5.493 7.768
2.909 5.493 -7.768
La Nd Sm
3 3 8
direct
0.000 0.000 0.000
0.185 0.685 0.500
0.815 0.315 0.500
0.199 0.500 0.699
0.500 0.500 0.000
0.801 0.500 0.301
0.119 0.280 0.838
0.236 0.897 0.339
0.441 0.103 0.339
0.442 0.280 0.162
0.558 0.720 0.838
0.559 0.897 0.661
0.764 0.103 0.661
0.881 0.720 0.162
```

Calculated values
Total DFT energy (no corrections) = -4.681 eV/atom
V = 496.43 Å³/f.u.
ρ = 6.86 g cm⁻³
Density of states at the Fermi level = 1.465 states/eV/atom
Formation energy from the elements = 0.093 eV/atom


[6]
The following is a DFT calculation (GGA-PBE) of a geometry-optimized Rb3AcNp2O9 structure.

The structure in POSCAR format:
```
Rb3AcNp2O9
1.0
6.290 0.000 0.000
-3.145 5.448 0.000
0.000 0.000 7.748
Rb Ac Np O
3 1 2 9
direct
0.000 0.000 0.000
0.333 0.667 0.669
0.667 0.333 0.331
0.000 0.000 0.500
0.333 0.667 0.156
0.667 0.333 0.844
0.000 0.500 0.000
0.182 0.364 0.308
0.182 0.818 0.308
0.364 0.182 0.692
0.500 0.000 0.000
0.500 0.500 0.000
0.636 0.818 0.308
0.818 0.182 0.692
0.818 0.636 0.692
```

Calculated values
Total DFT energy (no corrections) = -7.833 eV/atom
V = 265.49 Å³/f.u.
Formation energy without anion corrections = -2665 meV per atom
ρ = 6.89 g cm⁻³
Density of states at the Fermi level = 0.005 states/eV/atom


[7]
The following is a DFT calculation (GGA-PBE) of a geometry-optimized Th4GaTe2P structure.

The structure in POSCAR format:
```
Th4GaTe2P
1.0
7.411 0.000 0.000
0.000 4.310 0.000
-2.515 0.000 7.377
Th Ga Te P
4 1 2 1
direct
0.229 0.000 0.210
0.253 0.500 0.786
0.747 0.500 0.214
0.771 0.000 0.790
0.500 0.000 0.000
0.000 0.000 0.500
0.500 0.500 0.500
0.000 0.500 0.000
```

Calculated values
Total DFT energy (no corrections) = -6.619 eV/atom
V = 235.60 Å³/f.u.
Formation energy without anion corrections = -1069 meV per atom
ρ = 9.05 g cm⁻³
Density of states at the Fermi level = 0.513 states/eV/atom


[8]
The following is a DFT calculation (GGA-PBE) of a geometry-optimized SmHoSc4 structure.

The structure in POSCAR format:
```
SmHoSc4
1.0
0.000 4.446 4.446
4.446 0.000 4.446
4.446 4.446 0.000
Sm Ho Sc
1 1 4
direct
0.000 0.000 0.000
0.750 0.750 0.750
0.375 0.375 0.375
0.375 0.375 0.875
0.375 0.875 0.375
0.875 0.375 0.375
```

Calculated values
Total DFT energy (no corrections) = -5.542 eV/atom
V = 175.78 Å³/f.u.
ρ = 4.68 g cm⁻³
E above lowest polymorph = 187 meV/atom
Density of states at the Fermi level = 2.158 states/eV/atom
Formation energy from the elements = 0.229 eV/atom


[9]
The following is a DFT calculation (GGA-PBE) of a geometry-optimized TePt4 structure.

The structure in POSCAR format:
```
TePt4
1.0
-2.952 2.952 2.952
2.952 -2.952 2.952
2.952 2.952 -2.952
Te Pt
1 4
direct
0.000 0.000 0.000
0.000 0.000 0.500
0.000 0.500 0.000
0.500 0.000 0.000
0.500 0.500 0.500
```

Calculated values
Total DFT energy (no corrections) = -5.064 eV/atom
V = 102.93 Å³/f.u.
Formation energy without anion corrections = 397 meV per atom
ρ = 14.65 g cm⁻³
E above lowest polymorph = 0 meV/atom
Density of states at the Fermi level = 1.109 states/eV/atom


[10]
The following is a DFT calculation (GGA-PBE) of a geometry-optimized BaOs4Pt structure.

The structure in POSCAR format:
```
BaOs4Pt
1.0
0.000 3.810 3.810
3.810 0.000 3.810
3.810 3.810 0.000
Ba Os Pt
1 4 1
direct
0.000 0.000 0.000
0.132 0.623 0.623
0.623 0.132 0.623
0.623 0.623 0.132
0.623 0.623 0.623
0.250 0.250 0.250
```

Calculated values
Total DFT energy (no corrections) = -7.823 eV/atom
V = 110.62 Å³/f.u.
ρ = 16.41 g cm⁻³
Density of states at the Fermi level = 1.665 states/eV/atom
Formation energy from the elements = 0.990 eV/atom


[11]
The following is a DFT calculation (GGA-PBE) of a geometry-optimized La2Tb4Sb3N2 structure.

The structure in POSCAR format:
```
La2Tb4Sb3N2
1.0
-2.362 2.362 12.899
2.362 -2.362 12.899
2.362 2.362 -12.899
La Tb Sb N
2 4 3 2
direct
0.192 0.192 0.000
0.808 0.808 0.000
0.081 0.581 0.500
0.419 0.919 0.500
0.581 0.081 0.500
0.919 0.419 0.500
0.326 0.326 0.000
0.500 0.500 0.000
0.674 0.674 0.000
0.099 0.099 0.000
0.901 0.901 0.000
```

Calculated values
Total DFT energy (no corrections) = -6.462 eV/atom
V = 287.83 Å³/f.u.
Formation energy without anion corrections = -1244 meV per atom
ρ = 7.54 g cm⁻³
Density of states at the Fermi level = 0.633 states/eV/atom


[12]
The following is a DFT calculation (GGA-PBE) of a geometry-optimized CeUZnPt structure.

The structure in POSCAR format:
```
CeUZnPt
1.0
0.000 3.418 3.418
3.418 0.000 3.418
3.418 3.418 0.000
Ce U Zn Pt
1 1 1 1
direct
0.000 0.000 0.000
0.250 0.250 0.250
0.750 0.750 0.750
0.500 0.500 0.500
```

Calculated values
Total DFT energy (no corrections) = -6.513 eV/atom
V = 79.83 Å³/f.u.
ρ = 13.28 g cm⁻³
Density of states at the Fermi level = 2.475 states/eV/atom
Formation energy from the elements = -0.379 eV/atom


[13]
The following is a DFT calculation (GGA-PBE) of a geometry-optimized ZnCuF structure.

The structure in POSCAR format:
```
ZnCuF
1.0
11.674 0.000 0.000
0.000 1.424 2.488
0.000 -1.424 2.488
Zn Cu F
2 2 2
direct
0.000 0.000 0.000
0.500 0.150 0.150
0.336 0.819 0.819
0.664 0.819 0.819
0.109 0.331 0.331
0.891 0.331 0.331
```

Calculated values
Total DFT energy (no corrections) = -3.211 eV/atom
V = 41.37 Å³/f.u.
Formation energy without anion corrections = -798 meV per atom
ρ = 5.94 g cm⁻³
Density of states at the Fermi level = 0.126 states/eV/atom


[14]
The following is a DFT calculation (GGA-PBE) of a geometry-optimized RbNa2ZnSi structure.

The structure in POSCAR format:
```
RbNa2ZnSi
1.0
5.776 0.000 0.000
0.000 5.776 0.000
0.000 0.000 4.732
Rb Na Zn Si
1 2 1 1
direct
0.000 0.000 0.000
0.000 0.500 0.500
0.500 0.000 0.500
0.500 0.500 0.500
0.500 0.500 0.000
```

Calculated values
Total DFT energy (no corrections) = -1.878 eV/atom
V = 157.89 Å³/f.u.
Formation energy without anion corrections = 182 meV per atom
ρ = 2.37 g cm⁻³
E above lowest polymorph = 60 meV/atom
Density of states at the Fermi level = 0.245 states/eV/atom


[15]
The following is a DFT calculation (GGA-PBE) of a geometry-optimized Tl3C structure.

The structure in POSCAR format:
```
Tl3C
1.0
5.021 0.000 0.000
0.000 5.021 0.000
0.000 0.000 5.021
Tl C
3 1
direct
0.000 0.000 0.500
0.000 0.500 0.000
0.500 0.000 0.000
0.000 0.000 0.000
```

Calculated values
Total DFT energy (no corrections) = -2.845 eV/atom
V = 126.57 Å³/f.u.
ρ = 8.20 g cm⁻³
E above lowest polymorph = 650 meV/atom
Density of states at the Fermi level = 0.749 states/eV/atom
Formation energy from the elements = 1.235 eV/atom


[16]
The following is a DFT calculation (GGA-PBE) of a geometry-optimized TiCrPd2 structure.

The structure in POSCAR format:
```
TiCrPd2
1.0
-3.460 3.460 2.628
3.460 -3.460 2.628
3.460 3.460 -2.628
Ti Cr Pd
2 2 4
direct
0.000 0.000 0.000
0.750 0.250 0.500
0.250 0.750 0.500
0.500 0.500 0.000
0.141 0.125 0.516
0.375 0.859 0.984
0.609 0.625 0.484
0.875 0.391 0.016
```

Calculated values
Total DFT energy (no corrections) = -6.747 eV/atom
V = 62.93 Å³/f.u.
ρ = 8.25 g cm⁻³
E above lowest polymorph = 543 meV/atom
Density of states at the Fermi level = 1.289 states/eV/atom
Formation energy from the elements = 0.229 eV/atom


[17]
The following is a DFT calculation (GGA-PBE) of a geometry-optimized CdIrCl structure.

The structure in POSCAR format:
```
CdIrCl
1.0
0.000 2.700 6.736
1.503 0.000 6.736
1.503 2.700 0.000
Cd Ir Cl
1 1 1
direct
0.000 0.000 0.000
0.331 0.331 0.669
0.680 0.680 0.320
```

Calculated values
Total DFT energy (no corrections) = -3.472 eV/atom
V = 54.67 Å³/f.u.
Formation energy without anion corrections = 403 meV per atom
ρ = 10.33 g cm⁻³
E above lowest polymorph = 6 meV/atom
Density of states at the Fermi level = 0.745 states/eV/atom


[18]
The following is a DFT calculation (GGA-PBE) of a geometry-optimized AlBrCl2 structure.

The structure in POSCAR format:
```
AlBrCl2
1.0
0.000 3.495 3.495
3.495 0.000 3.495
3.495 3.495 0.000
Al Br Cl
1 1 2
direct
0.000 0.000 0.000
0.500 0.500 0.500
0.250 0.250 0.250
0.750 0.750 0.750
```

Calculated values
Total DFT energy (no corrections) = -2.178 eV/atom
V = 85.35 Å³/f.u.
Formation energy without anion corrections = 99 meV per atom
ρ = 3.46 g cm⁻³
E above lowest polymorph = 1443 meV/atom
Density of states at the Fermi level = 0.518 states/eV/atom


[19]
The following is a DFT calculation (GGA-PBE) of a geometry-optimized AsSeSBr2 structure.

The structure in POSCAR format:
```
AsSeSBr2
1.0
5.010 0.000 0.000
0.000 5.010 0.000
0.000 0.000 5.159
As Se S Br
1 1 1 2
direct
0.000 0.000 0.000
0.500 0.500 0.000
0.500 0.500 0.500
0.000 0.500 0.500
0.500 0.000 0.500
```

Calculated values
Total DFT energy (no corrections) = -2.415 eV/atom
V = 129.49 Å³/f.u.
Formation energy without anion corrections = 706 meV per atom
ρ = 4.43 g cm⁻³
E above lowest polymorph = 118 meV/atom
Density of states at the Fermi level = 0.822 states/eV/atom


[20]
The following is a DFT calculation (GGA-PBE) of a geometry-optimized AlC2O2 structure.

The structure in POSCAR format:
```
AlC2O2
1.0
7.032 0.000 0.000
0.000 7.032 0.000
0.000 0.000 2.316
Al C O
2 4 4
direct
0.000 0.000 0.000
0.500 0.500 0.000
0.205 0.295 0.000
0.295 0.795 0.000
0.705 0.205 0.000
0.795 0.705 0.000
0.126 0.374 0.500
0.374 0.874 0.500
0.626 0.126 0.500
0.874 0.626 0.500
```

Calculated values
Total DFT energy (no corrections) = -5.860 eV/atom
V = 57.25 Å³/f.u.
Formation energy without anion corrections = 562 meV per atom
ρ = 2.41 g cm⁻³
E above lowest polymorph = 0 meV/atom
Density of states at the Fermi level = 0.260 states/eV/atom